# 1
Computed, not measured: a geometry-optimized TiMn2Au structure at the PBE level of DFT.

Calculated values
Calculated volume (Å³/atom): 14.9
N(E_F) (states/eV per atom): 0.676
E_tot (eV/cell): -30.01
Energy relative to the elements (kJ/mol of atoms): -12
Energy relative to the lowest polymorph listed for this composition (meV/atom): 0

a b c (Å): 4.0257 4.0257 3.6771
angles (deg): 90.00 90.00 90.00
Space group P4/mmm (No. 123)
Asymmetric unit:
Ti  0.0000  0.0000  0.0000 [1 per cell]
Mn  0.0000  0.5000  0.5000 [2 per cell]
Au  0.5000  0.5000  0.0000 [1 per cell]


# 2
Computed, not measured: a geometry-optimized TiMnZnAu structure at the PBE level of DFT.

Calculated values
Calculated volume (Å³/atom): 14.5
N(E_F) (states/eV per atom): 0.432
E_tot (eV/cell): -87.17
Energy relative to the elements (kJ/mol of atoms): -4

a b c (Å): 6.1501 6.1501 6.1501
angles (deg): 90.00 90.00 90.00
Space group F-43m (No. 216)
Asymmetric unit:
Ti  0.0000  0.0000  0.0000 [4 per cell]
Mn  0.2500  0.2500  0.7500 [4 per cell]
Zn  0.0000  0.0000  0.5000 [4 per cell]
Au  0.2500  0.2500  0.2500 [4 per cell]


# 3
Computed, not measured: a geometry-optimized ZrTiMnAu2 structure at the PBE level of DFT.

Calculated values
Calculated volume (Å³/atom): 20.5
N(E_F) (states/eV per atom): 1.252
E_tot (eV/cell): -29.49
Energy relative to the elements (kJ/mol of atoms): 52

a b c (Å): 4.9486 4.9486 4.1951
angles (deg): 90.00 90.00 90.00
Space group P4/mmm (No. 123)
Asymmetric unit:
Zr  0.0000  0.0000  0.0000 [1 per cell]
Ti  0.5000  0.5000  0.5000 [1 per cell]
Mn  0.5000  0.5000  0.0000 [1 per cell]
Au  0.0000  0.5000  0.5000 [2 per cell]


# 4
Computed, not measured: a geometry-optimized MnTl4Au structure at the PBE level of DFT.

Calculated values
Calculated volume (Å³/atom): 28.9
N(E_F) (states/eV per atom): 0.578
E_tot (eV/cell): -73.66
Energy relative to the elements (kJ/mol of atoms): 56

a b c (Å): 8.8532 8.8532 8.8532
angles (deg): 90.00 90.00 90.00
Space group F-43m (No. 216)
Asymmetric unit:
Mn  0.0000  0.0000  0.0000 [4 per cell]
Tl  0.1249  0.1249  0.6249 [16 per cell]
Au  0.2500  0.2500  0.2500 [4 per cell]


# 5
Computed, not measured: a geometry-optimized MnTlAu4 structure at the PBE level of DFT.

Calculated values
Calculated volume (Å³/atom): 19.4
N(E_F) (states/eV per atom): 0.318
E_tot (eV/cell): -24.68
Energy relative to the elements (kJ/mol of atoms): -1
Energy relative to the lowest polymorph listed for this composition (meV/atom): 0

a b c (Å): 3.4639 3.4764 9.6733
angles (deg): 90.00 90.00 90.00
Space group Pmmm (No. 47)
Asymmetric unit:
Mn  0.0000  0.0000  0.0000 [1 per cell]
Tl  0.5000  0.5000  0.5000 [1 per cell]
Au  0.0000  0.0000  0.2984 [2 per cell]
Au  0.5000  0.5000  0.1442 [2 per cell]


# 6
Computed, not measured: a geometry-optimized MnTlAu3 structure at the PBE level of DFT.

Calculated values
Calculated volume (Å³/atom): 25.9
N(E_F) (states/eV per atom): 0.300
E_tot (eV/cell): -19.44
Energy relative to the elements (kJ/mol of atoms): 37
Energy relative to the lowest polymorph listed for this composition (meV/atom): 0

a b c (Å): 5.0587 5.0587 5.0587
angles (deg): 90.00 90.00 90.00
Space group Pm-3m (No. 221)
Asymmetric unit:
Mn  0.0000  0.0000  0.0000 [1 per cell]
Tl  0.5000  0.5000  0.5000 [1 per cell]
Au  0.0000  0.0000  0.5000 [3 per cell]


# 7
Computed, not measured: a geometry-optimized MnTl3Au structure at the PBE level of DFT.

Calculated values
Calculated volume (Å³/atom): 28.4
N(E_F) (states/eV per atom): 0.661
E_tot (eV/cell): -17.23
Energy relative to the elements (kJ/mol of atoms): 45
Energy relative to the lowest polymorph listed for this composition (meV/atom): 0

a b c (Å): 5.2141 5.2141 5.2141
angles (deg): 90.00 90.00 90.00
Space group Pm-3m (No. 221)
Asymmetric unit:
Mn  0.0000  0.0000  0.0000 [1 per cell]
Tl  0.0000  0.0000  0.5000 [3 per cell]
Au  0.5000  0.5000  0.5000 [1 per cell]


# 8
Computed, not measured: a geometry-optimized MnTlAu4 structure at the PBE level of DFT.

Calculated values
Calculated volume (Å³/atom): 20.5
N(E_F) (states/eV per atom): 0.482
E_tot (eV/cell): -95.01
Energy relative to the elements (kJ/mol of atoms): 14
Energy relative to the lowest polymorph listed for this composition (meV/atom): 155

a b c (Å): 7.8935 7.8935 7.8935
angles (deg): 90.00 90.00 90.00
Space group F-43m (No. 216)
Asymmetric unit:
Mn  0.0000  0.0000  0.0000 [4 per cell]
Tl  0.2500  0.2500  0.7500 [4 per cell]
Au  0.1254  0.1254  0.3746 [16 per cell]


# 9
Computed, not measured: a geometry-optimized Tm2MnAu structure at the PBE level of DFT.

Calculated values
Calculated volume (Å³/atom): 21.7
N(E_F) (states/eV per atom): 1.185
E_tot (eV/cell): -22.84
Energy relative to the elements (kJ/mol of atoms): -35

a b c (Å): 3.5137 3.5137 7.0392
angles (deg): 90.00 90.00 90.00
Space group P4/mmm (No. 123)
Asymmetric unit:
Tm  0.0000  0.0000  0.2450 [2 per cell]
Mn  0.5000  0.5000  0.0000 [1 per cell]
Au  0.5000  0.5000  0.5000 [1 per cell]


# 10
Computed, not measured: a geometry-optimized YTmMnAu structure at the PBE level of DFT.

Calculated values
Calculated volume (Å³/atom): 22.6
N(E_F) (states/eV per atom): 1.335
E_tot (eV/cell): -97.80
Energy relative to the elements (kJ/mol of atoms): -26

a b c (Å): 7.1229 7.1229 7.1229
angles (deg): 90.00 90.00 90.00
Space group F-43m (No. 216)
Asymmetric unit:
Y  0.0000  0.0000  0.0000 [4 per cell]
Tm  0.0000  0.0000  0.5000 [4 per cell]
Mn  0.2500  0.2500  0.2500 [4 per cell]
Au  0.2500  0.2500  0.7500 [4 per cell]


# 11
Computed, not measured: a geometry-optimized MnVAu structure at the PBE level of DFT.

Calculated values
Calculated volume (Å³/atom): 14.9
N(E_F) (states/eV per atom): 1.360
E_tot (eV/cell): -43.10
Energy relative to the elements (kJ/mol of atoms): 1

a b c (Å): 3.1420 3.1420 9.0426
angles (deg): 90.00 90.00 90.00
Space group I4mm (No. 107)
Asymmetric unit:
Mn  0.0000  0.0000  0.0000 [2 per cell]
V  0.0000  0.0000  0.6264 [2 per cell]
Au  0.0000  0.0000  0.3131 [2 per cell]


# 12
Computed, not measured: a geometry-optimized MnV3Au structure at the PBE level of DFT.

Calculated values
Calculated volume (Å³/atom): 15.9
N(E_F) (states/eV per atom): 1.425
E_tot (eV/cell): -36.64
Energy relative to the elements (kJ/mol of atoms): 61
Energy relative to the lowest polymorph listed for this composition (meV/atom): 0

a b c (Å): 4.2978 4.2978 4.2978
angles (deg): 90.00 90.00 90.00
Space group Pm-3m (No. 221)
Asymmetric unit:
Mn  0.0000  0.0000  0.0000 [1 per cell]
V  0.0000  0.0000  0.5000 [3 per cell]
Au  0.5000  0.5000  0.5000 [1 per cell]


# 13
Computed, not measured: a geometry-optimized MnV2Au structure at the PBE level of DFT.

Calculated values
Calculated volume (Å³/atom): 13.9
N(E_F) (states/eV per atom): 1.189
E_tot (eV/cell): -30.81
Energy relative to the elements (kJ/mol of atoms): -3
Energy relative to the lowest polymorph listed for this composition (meV/atom): 0

a b c (Å): 2.8059 2.8059 7.0690
angles (deg): 90.00 90.00 90.00
Space group P4/mmm (No. 123)
Asymmetric unit:
Mn  0.0000  0.0000  0.0000 [1 per cell]
V  0.5000  0.5000  0.2065 [2 per cell]
Au  0.0000  0.0000  0.5000 [1 per cell]


# 14
Computed, not measured: a geometry-optimized Mn2VAu2 structure at the PBE level of DFT.

Calculated values
Calculated volume (Å³/atom): 16.4
N(E_F) (states/eV per atom): 0.782
E_tot (eV/cell): -62.74
Energy relative to the elements (kJ/mol of atoms): 51
Energy relative to the lowest polymorph listed for this composition (meV/atom): 355

a b c (Å): 3.8063 3.8063 11.2916
angles (deg): 90.00 90.00 90.00
Space group I4/mmm (No. 139)
Asymmetric unit:
Mn  0.0000  0.0000  0.0855 [4 per cell]
V  0.0000  0.0000  0.5000 [2 per cell]
Au  0.0000  0.5000  0.2500 [4 per cell]


# 15
Computed, not measured: a geometry-optimized Mn3VAu structure at the PBE level of DFT.

Calculated values
Calculated volume (Å³/atom): 17.1
N(E_F) (states/eV per atom): 0.821
E_tot (eV/cell): -35.48
Energy relative to the elements (kJ/mol of atoms): 85
Energy relative to the lowest polymorph listed for this composition (meV/atom): 0

a b c (Å): 4.4041 4.4041 4.4041
angles (deg): 90.00 90.00 90.00
Space group Pm-3m (No. 221)
Asymmetric unit:
Mn  0.0000  0.0000  0.5000 [3 per cell]
V  0.0000  0.0000  0.0000 [1 per cell]
Au  0.5000  0.5000  0.5000 [1 per cell]


# 16
Computed, not measured: a geometry-optimized MnVAu2 structure at the PBE level of DFT.

Calculated values
Calculated volume (Å³/atom): 17.7
N(E_F) (states/eV per atom): 0.797
E_tot (eV/cell): -93.59
Energy relative to the elements (kJ/mol of atoms): 35

a b c (Å): 3.8456 3.8456 19.1375
angles (deg): 90.00 90.00 90.00
Space group I-42d (No. 122)
Asymmetric unit:
Mn  0.0000  0.0000  0.0000 [4 per cell]
V  0.0000  0.0000  0.5000 [4 per cell]
Au  0.2482  0.2500  0.1250 [8 per cell]


# 17
Computed, not measured: a geometry-optimized Mn2VAu2 structure at the PBE level of DFT.

Calculated values
Calculated volume (Å³/atom): 16.4
N(E_F) (states/eV per atom): 0.601
E_tot (eV/cell): -66.29
Energy relative to the elements (kJ/mol of atoms): 17
Energy relative to the lowest polymorph listed for this composition (meV/atom): 0

a b c (Å): 6.6708 6.6708 3.6924
angles (deg): 90.00 90.00 90.00
Space group P4/mbm (No. 127)
Asymmetric unit:
Mn  0.1463  0.3537  0.0000 [4 per cell]
V  0.0000  0.0000  0.0000 [2 per cell]
Au  0.1560  0.6560  0.5000 [4 per cell]


# 18
Computed, not measured: a geometry-optimized MnVAu3 structure at the PBE level of DFT.

Calculated values
Calculated volume (Å³/atom): 22.9
N(E_F) (states/eV per atom): 1.490
E_tot (eV/cell): -23.63
Energy relative to the elements (kJ/mol of atoms): 87
Energy relative to the lowest polymorph listed for this composition (meV/atom): 0

a b c (Å): 4.8567 4.8567 4.8567
angles (deg): 90.00 90.00 90.00
Space group Pm-3m (No. 221)
Asymmetric unit:
Mn  0.0000  0.0000  0.0000 [1 per cell]
V  0.5000  0.5000  0.5000 [1 per cell]
Au  0.0000  0.0000  0.5000 [3 per cell]


# 19
Computed, not measured: a geometry-optimized MnV2Au structure at the PBE level of DFT.

Calculated values
Calculated volume (Å³/atom): 14.8
N(E_F) (states/eV per atom): 1.683
E_tot (eV/cell): -115.66
Energy relative to the elements (kJ/mol of atoms): 43
Energy relative to the lowest polymorph listed for this composition (meV/atom): 474

a b c (Å): 6.7113 6.7113 5.2462
angles (deg): 90.00 90.00 90.00
Space group I-42d (No. 122)
Asymmetric unit:
Mn  0.0000  0.0000  0.0000 [4 per cell]
V  0.2081  0.7500  0.1250 [8 per cell]
Au  0.0000  0.0000  0.5000 [4 per cell]


# 20
Computed, not measured: a geometry-optimized MnVAu2 structure at the PBE level of DFT.

Calculated values
Calculated volume (Å³/atom): 16.6
N(E_F) (states/eV per atom): 1.262
E_tot (eV/cell): -98.53
Energy relative to the elements (kJ/mol of atoms): 5

a b c (Å): 6.4244 6.4244 6.4244
angles (deg): 90.00 90.00 90.00
Space group Fm-3m (No. 225)
Asymmetric unit:
Mn  0.0000  0.0000  0.0000 [4 per cell]
V  0.0000  0.0000  0.5000 [4 per cell]
Au  0.2500  0.2500  0.2500 [8 per cell]